(1)
An optimized crystal structure of MnRuCl. Source: Alexandria, functional PBE.

Cell and atoms, written as extended XYZ:
```
3
Lattice="0.000 2.953 2.953 2.953 0.000 2.953 2.953 2.953 0.000" Properties=species:S:1:pos:R:3 pbc="T T T"
Mn 0.000 0.000 0.000
Ru 1.476 1.476 1.476
Cl 2.953 2.953 2.953
```

Values from the calculation:
The value obtained for the uncorrected formation energy is 0.68 eV/atom. As for the spin magnetization: 3.51 μB/f.u. As for the space group: F-43m (216). As for the volume: 51.5 Å³/cell. The calculation puts the total energy at -6.0825 eV per atom.

=====

(2)
An optimized crystal structure of Mn2RuCl. Source: Alexandria, functional PBE.

Cell and atoms, written as extended XYZ:
```
4
Lattice="-1.822 1.822 4.738 1.822 -1.822 4.738 1.822 1.822 -4.738" Properties=species:S:1:pos:R:3 pbc="T T T"
Mn 0.000 0.000 0.000
Mn 0.000 1.822 2.369
Ru 1.822 0.000 2.369
Cl 0.000 0.000 4.738
```

Values from the calculation:
The value obtained for the uncorrected formation energy is 0.68 eV/atom. As for the spin magnetization: 8.32 μB/f.u. As for the space group: I-4m2 (119). As for the volume: 62.9 Å³/cell. The calculation puts the total energy at -6.6852 eV per atom.

=====

(3)
An optimized crystal structure of MnRu2Cl. Source: Alexandria, functional PBE.

Cell and atoms, written as extended XYZ:
```
4
Lattice="2.816 0.000 0.000 0.000 4.458 0.000 0.000 0.000 4.695" Properties=species:S:1:pos:R:3 pbc="T T T"
Mn 0.000 0.000 0.000
Ru 0.000 2.229 2.348
Ru 1.408 2.229 0.000
Cl 1.408 0.000 2.348
```

Values from the calculation:
The value obtained for the uncorrected formation energy is 0.65 eV/atom. As for the spin magnetization: 3.30 μB/f.u. As for the space group: Pmmm (47). As for the volume: 58.9 Å³/cell. The calculation puts the total energy at -6.7427 eV per atom.

=====

(4)
An optimized crystal structure of Mn3RuCl. Source: Alexandria, functional PBE.

Cell and atoms, written as extended XYZ:
```
5
Lattice="4.827 0.000 0.000 0.000 4.827 0.000 0.000 0.000 4.827" Properties=species:S:1:pos:R:3 pbc="T T T"
Mn 0.000 0.000 2.414
Mn 0.000 2.414 0.000
Mn 2.414 0.000 0.000
Ru 0.000 0.000 0.000
Cl 2.414 2.414 2.414
```

Values from the calculation:
The value obtained for the uncorrected formation energy is 0.96 eV/atom. As for the spin magnetization: 12.81 μB/f.u. As for the space group: Pm-3m (221). As for the volume: 112.5 Å³/cell. The calculation puts the total energy at -6.7665 eV per atom.